[1]
Compound: MnRe2Pb
Source: Alexandria
Functional: GGA-PBE
Structure: relaxed

- Space-group type: C2/m (12)

Cell lengths 4.842, 4.842, 4.948 Å; angles 101.26, 101.26, 36.03 degrees
Positions (direct):
1 Mn 0.000 0.000 0.000
2 Re 0.269 0.269 0.797
3 Re 0.731 0.731 0.203
4 Pb 0.500 0.500 0.500


[2]
Compound: Mn2RePb
Source: Alexandria
Functional: GGA-PBE
Structure: relaxed

- Space-group type: Cmmm (65)

Cell lengths 4.711, 4.711, 3.018 Å; angles 90.00, 90.00, 107.18 degrees
Positions (direct):
1 Mn 0.000 0.500 0.000
2 Mn 0.500 0.000 0.000
3 Re 0.000 0.000 0.500
4 Pb 0.500 0.500 0.500


[3]
Compound: MnRePb
Source: Alexandria
Functional: GGA-PBE
Structure: relaxed

- Relative energy among the computed polymorphs: 112.5 meV per atom
- Space-group type: F-43m (216)

Cell lengths 4.230, 4.230, 4.230 Å; angles 60.00, 60.00, 60.00 degrees
Positions (direct):
1 Mn 0.000 0.000 0.000
2 Re 0.250 0.250 0.250
3 Pb 0.750 0.750 0.750


[4]
Compound: MnRe2Pb
Source: Alexandria
Functional: GGA-PBE
Structure: relaxed

- Space-group type: Cm (8)

Cell lengths 4.776, 4.776, 4.950 Å; angles 101.44, 101.44, 38.18 degrees
Positions (direct):
1 Mn 0.000 0.000 0.000
2 Re 0.259 0.259 0.760
3 Re 0.527 0.527 0.592
4 Pb 0.762 0.762 0.262


[5]
Compound: MnRe2Pb
Source: Alexandria
Functional: GGA-PBE
Structure: relaxed

- Space-group type: P4/mmm (123)

Cell lengths 3.112, 3.112, 7.040 Å; angles 90.00, 90.00, 90.00 degrees
Positions (direct):
1 Mn 0.000 0.000 0.000
2 Re 0.500 0.500 0.186
3 Re 0.500 0.500 0.814
4 Pb 0.000 0.000 0.500


[6]
Compound: Mn2RePb
Source: Alexandria
Functional: GGA-PBE
Structure: relaxed

- Space-group type: Imm2 (44)

Cell lengths 5.251, 5.251, 5.251 Å; angles 144.84, 129.37, 63.14 degrees
Positions (direct):
1 Mn 0.000 0.000 0.000
2 Mn 0.763 0.263 0.500
3 Re 0.532 0.532 0.000
4 Pb 0.261 0.761 0.500


E_tot readings, ordered: -0.6483 -0.5893 -0.5658 -0.6425 -0.6427 -0.5892 Ry/atom
Energy of formation from the pure elements readings, ordered: 241 234 216 271 270 235 kJ/mol of formula units